No. 1
# PBE-GGA NiW3C, relaxed
data_NiW3C
_chemical_formula_sum 'Ni1 W3 C1'
_space_group_name_H-M_alt 'P 1'
_space_group_IT_number 1
_cell_length_a 4.1018
_cell_length_b 4.1018
_cell_length_c 4.1018
_cell_angle_alpha 90.00
_cell_angle_beta 90.00
_cell_angle_gamma 90.00
loop_
_space_group_symop_operation_xyz
'x,y,z'
loop_
_atom_site_label
_atom_site_type_symbol
_atom_site_fract_x
_atom_site_fract_y
_atom_site_fract_z
Ni1 Ni 0.0000 0.0000 0.0000
W1 W 0.0000 0.5000 0.5000
W2 W 0.5000 0.0000 0.5000
W3 W 0.5000 0.5000 0.0000
C1 C 0.5000 0.5000 0.5000
# VASP energy = -10.46 eV/atom
# Energy of formation from the pure elements = 0.308 eV/atom
# Symmetry = No. 221

---

No. 2
# PBE-GGA Ni6W6C, relaxed
data_Ni6W6C
_chemical_formula_sum 'Ni12 W12 C2'
_space_group_name_H-M_alt 'P 1'
_space_group_IT_number 1
_cell_length_a 7.7265
_cell_length_b 7.7265
_cell_length_c 7.7265
_cell_angle_alpha 60.00
_cell_angle_beta 60.00
_cell_angle_gamma 60.00
loop_
_space_group_symop_operation_xyz
'x,y,z'
loop_
_atom_site_label
_atom_site_type_symbol
_atom_site_fract_x
_atom_site_fract_y
_atom_site_fract_z
Ni1 Ni 0.0000 0.0000 0.0000
Ni2 Ni 0.0000 0.0000 0.5000
Ni3 Ni 0.0000 0.5000 0.0000
Ni4 Ni 0.1264 0.7912 0.7912
Ni5 Ni 0.2088 0.2088 0.2088
Ni6 Ni 0.2088 0.2088 0.8736
Ni7 Ni 0.2088 0.8736 0.2088
Ni8 Ni 0.5000 0.0000 0.0000
Ni9 Ni 0.7912 0.1264 0.7912
Ni10 Ni 0.7912 0.7912 0.1264
Ni11 Ni 0.7912 0.7912 0.7912
Ni12 Ni 0.8736 0.2088 0.2088
W1 W 0.1755 0.1755 0.5745
W2 W 0.1755 0.5745 0.1755
W3 W 0.1755 0.5745 0.5745
W4 W 0.4255 0.4255 0.8245
W5 W 0.4255 0.8245 0.4255
W6 W 0.4255 0.8245 0.8245
W7 W 0.5745 0.1755 0.1755
W8 W 0.5745 0.1755 0.5745
W9 W 0.5745 0.5745 0.1755
W10 W 0.8245 0.4255 0.4255
W11 W 0.8245 0.4255 0.8245
W12 W 0.8245 0.8245 0.4255
C1 C 0.3750 0.3750 0.3750
C2 C 0.6250 0.6250 0.6250
# VASP energy = -9.45 eV/atom
# Energy of formation from the pure elements = -0.090 eV/atom
# Symmetry = No. 227

---

No. 3
# PBE-GGA YNiC2, relaxed
data_YNiC2
_chemical_formula_sum 'Y2 Ni2 C4'
_space_group_name_H-M_alt 'P 1'
_space_group_IT_number 1
_cell_length_a 6.9409
_cell_length_b 6.9409
_cell_length_c 6.9409
_cell_angle_alpha 146.84
_cell_angle_beta 146.84
_cell_angle_gamma 47.61
loop_
_space_group_symop_operation_xyz
'x,y,z'
loop_
_atom_site_label
_atom_site_type_symbol
_atom_site_fract_x
_atom_site_fract_y
_atom_site_fract_z
Y1 Y 0.3750 0.6250 0.7500
Y2 Y 0.6250 0.3750 0.2500
Ni1 Ni 0.1250 0.8750 0.2500
Ni2 Ni 0.8750 0.1250 0.7500
C1 C 0.0000 0.0000 0.0000
C2 C 0.0000 0.0000 0.5000
C3 C 0.0000 0.5000 0.0000
C4 C 0.5000 0.0000 0.5000
# VASP energy = -7.28 eV/atom
# Energy of formation from the pure elements = 0.394 eV/atom
# Symmetry = No. 141

---

No. 4
# PBE-GGA YNi3C, relaxed
data_YNi3C
_chemical_formula_sum 'Y2 Ni6 C2'
_space_group_name_H-M_alt 'P 1'
_space_group_IT_number 1
_cell_length_a 5.5578
_cell_length_b 5.5578
_cell_length_c 4.8526
_cell_angle_alpha 90.00
_cell_angle_beta 90.00
_cell_angle_gamma 120.00
loop_
_space_group_symop_operation_xyz
'x,y,z'
loop_
_atom_site_label
_atom_site_type_symbol
_atom_site_fract_x
_atom_site_fract_y
_atom_site_fract_z
Y1 Y 0.3333 0.6667 0.2500
Y2 Y 0.6667 0.3333 0.7500
Ni1 Ni 0.1598 0.3195 0.7500
Ni2 Ni 0.1598 0.8402 0.7500
Ni3 Ni 0.3195 0.1598 0.2500
Ni4 Ni 0.6805 0.8402 0.7500
Ni5 Ni 0.8402 0.1598 0.2500
Ni6 Ni 0.8402 0.6805 0.2500
C1 C 0.0000 0.0000 0.0000
C2 C 0.0000 0.0000 0.5000
# VASP energy = -6.63 eV/atom
# Energy of formation from the pure elements = -0.025 eV/atom
# Symmetry = No. 194

---

No. 5
# PBE-GGA YNiC2, relaxed
data_YNiC2
_chemical_formula_sum 'Y1 Ni1 C2'
_space_group_name_H-M_alt 'P 1'
_space_group_IT_number 1
_cell_length_a 4.0385
_cell_length_b 4.0385
_cell_length_c 4.0385
_cell_angle_alpha 60.00
_cell_angle_beta 60.00
_cell_angle_gamma 60.00
loop_
_space_group_symop_operation_xyz
'x,y,z'
loop_
_atom_site_label
_atom_site_type_symbol
_atom_site_fract_x
_atom_site_fract_y
_atom_site_fract_z
Y1 Y 0.0000 0.0000 0.0000
Ni1 Ni 0.5000 0.5000 0.5000
C1 C 0.2500 0.2500 0.2500
C2 C 0.7500 0.7500 0.7500
# VASP energy = -6.69 eV/atom
# Energy of formation from the pure elements = 0.981 eV/atom
# Symmetry = No. 225

---

No. 6
# PBE-GGA Y4Ni2C, relaxed
data_Y4Ni2C
_chemical_formula_sum 'Y4 Ni2 C1'
_space_group_name_H-M_alt 'P 1'
_space_group_IT_number 1
_cell_length_a 7.9693
_cell_length_b 7.9693
_cell_length_c 7.9693
_cell_angle_alpha 145.14
_cell_angle_beta 145.14
_cell_angle_gamma 50.12
loop_
_space_group_symop_operation_xyz
'x,y,z'
loop_
_atom_site_label
_atom_site_type_symbol
_atom_site_fract_x
_atom_site_fract_y
_atom_site_fract_z
Y1 Y 0.0000 0.5000 0.5000
Y2 Y 0.1924 0.1924 0.0000
Y3 Y 0.5000 0.0000 0.5000
Y4 Y 0.8076 0.8076 0.0000
Ni1 Ni 0.3734 0.3734 0.0000
Ni2 Ni 0.6266 0.6266 0.0000
C1 C 0.5000 0.5000 0.0000
# VASP energy = -6.68 eV/atom
# Energy of formation from the pure elements = -0.017 eV/atom
# Symmetry = No. 139

---

No. 7
# PBE-GGA Y3NiC, relaxed
data_Y3NiC
_chemical_formula_sum 'Y3 Ni1 C1'
_space_group_name_H-M_alt 'P 1'
_space_group_IT_number 1
_cell_length_a 4.8299
_cell_length_b 4.8299
_cell_length_c 4.8299
_cell_angle_alpha 90.00
_cell_angle_beta 90.00
_cell_angle_gamma 90.00
loop_
_space_group_symop_operation_xyz
'x,y,z'
loop_
_atom_site_label
_atom_site_type_symbol
_atom_site_fract_x
_atom_site_fract_y
_atom_site_fract_z
Y1 Y 0.0000 0.0000 0.5000
Y2 Y 0.0000 0.5000 0.0000
Y3 Y 0.5000 0.0000 0.0000
Ni1 Ni 0.5000 0.5000 0.5000
C1 C 0.0000 0.0000 0.0000
# VASP energy = -6.94 eV/atom
# Energy of formation from the pure elements = -0.065 eV/atom
# Symmetry = No. 221

---

No. 8
# PBE-GGA YNi7C2, relaxed
data_YNi7C2
_chemical_formula_sum 'Y1 Ni7 C2'
_space_group_name_H-M_alt 'P 1'
_space_group_IT_number 1
_cell_length_a 5.9931
_cell_length_b 5.9931
_cell_length_c 3.8589
_cell_angle_alpha 90.00
_cell_angle_beta 90.00
_cell_angle_gamma 118.43
loop_
_space_group_symop_operation_xyz
'x,y,z'
loop_
_atom_site_label
_atom_site_type_symbol
_atom_site_fract_x
_atom_site_fract_y
_atom_site_fract_z
Y1 Y 0.0000 0.0000 0.0000
Ni1 Ni 0.0517 0.3408 0.5000
Ni2 Ni 0.2828 0.7172 0.0000
Ni3 Ni 0.3408 0.0517 0.5000
Ni4 Ni 0.5000 0.5000 0.5000
Ni5 Ni 0.6592 0.9483 0.5000
Ni6 Ni 0.7172 0.2828 0.0000
Ni7 Ni 0.9483 0.6592 0.5000
C1 C 0.3092 0.6908 0.5000
C2 C 0.6908 0.3092 0.5000
# VASP energy = -6.45 eV/atom
# Energy of formation from the pure elements = 0.090 eV/atom
# Symmetry = No. 65